# 1
Here is an optimized crystal structure of Mn2CdOs from the Alexandria database. Energies are from PBEsol.

Cell lengths 2.736, 2.736, 7.448 Å; angles 90.00, 90.00, 90.00 degrees
Positions (direct):
Mn (0.000, 0.000, 0.222)
Mn (0.000, 0.000, 0.778)
Cd (0.500, 0.500, 0.500)
Os (0.500, 0.500, 0.000)

Values from the calculation:
DOS(E_F): 4.13 states/eV/cell
Total energy: -7.95 eV per atom

***

# 2
Here is an optimized crystal structure of YMn2CdOs from the Alexandria database. Energies are from PBEsol.

Cell lengths 4.734, 4.734, 4.802 Å; angles 90.00, 90.00, 90.00 degrees
Positions (direct):
Y (0.000, 0.000, 0.000)
Mn (0.000, 0.500, 0.000)
Mn (0.500, 0.000, 0.000)
Cd (0.500, 0.500, 0.500)
Os (0.000, 0.000, 0.500)

Values from the calculation:
DOS(E_F): 4.53 states/eV/cell
Total energy: -5.98 eV per atom

***

# 3
Here is an optimized crystal structure of MnCd2P from the Alexandria database. Energies are from PBEsol.

Cell lengths 2.944, 2.913, 7.644 Å; angles 90.00, 101.10, 90.00 degrees
Positions (direct):
Mn (0.000, 0.000, 0.000)
Cd (0.369, 0.500, 0.736)
Cd (0.720, 0.000, 0.429)
P (0.560, 0.500, 0.119)

Values from the calculation:
DOS(E_F): 1.91 states/eV/cell
Total energy: -4.51 eV per atom

***

# 4
Here is an optimized crystal structure of Mn2CdP from the Alexandria database. Energies are from PBEsol.

Cell lengths 2.790, 2.790, 6.610 Å; angles 90.00, 90.00, 90.00 degrees
Positions (direct):
Mn (0.000, 0.000, 0.186)
Mn (0.000, 0.000, 0.814)
Cd (0.500, 0.500, 0.500)
P (0.500, 0.500, 0.000)

Values from the calculation:
DOS(E_F): 3.19 states/eV/cell
Total energy: -6.69 eV per atom
Offset from the most stable computed form: 0 meV per atom

***

# 5
Here is an optimized crystal structure of Mn2CdP from the Alexandria database. Energies are from PBEsol.

Cell lengths 2.814, 3.063, 13.335 Å; angles 90.00, 90.00, 90.00 degrees
Positions (direct):
Mn (0.000, 0.000, 0.000)
Mn (0.000, 0.500, 0.320)
Mn (0.500, 0.000, 0.820)
Mn (0.500, 0.500, 0.500)
Cd (0.000, 0.000, 0.644)
Cd (0.500, 0.500, 0.144)
P (0.000, 0.500, 0.877)
P (0.500, 0.000, 0.377)

Values from the calculation:
DOS(E_F): 5.83 states/eV/cell
Total energy: -6.64 eV per atom
Offset from the most stable computed form: 59 meV per atom

***

# 6
Here is an optimized crystal structure of MnCdPb2 from the Alexandria database. Energies are from PBEsol.

Cell lengths 6.945, 7.978, 3.357 Å; angles 90.00, 90.00, 90.00 degrees
Positions (direct):
Mn (0.000, 0.000, 0.000)
Mn (0.500, 0.500, 0.000)
Cd (0.000, 0.500, 0.000)
Cd (0.500, 0.000, 0.000)
Pb (0.250, 0.250, 0.500)
Pb (0.250, 0.750, 0.500)
Pb (0.750, 0.250, 0.500)
Pb (0.750, 0.750, 0.500)

Values from the calculation:
DOS(E_F): 4.41 states/eV/cell
Total energy: -4.36 eV per atom

***

# 7
Here is an optimized crystal structure of MnCdPb2 from the Alexandria database. Energies are from PBEsol.

Cell lengths 3.216, 5.125, 11.315 Å; angles 90.00, 90.00, 90.00 degrees
Positions (direct):
Mn (0.000, 0.000, 0.000)
Mn (0.500, 0.500, 0.500)
Cd (0.000, 0.500, 0.297)
Cd (0.500, 0.000, 0.797)
Pb (0.000, 0.000, 0.509)
Pb (0.000, 0.500, 0.719)
Pb (0.500, 0.000, 0.219)
Pb (0.500, 0.500, 0.009)

Values from the calculation:
DOS(E_F): 3.87 states/eV/cell
Total energy: -4.40 eV per atom

***

# 8
Here is an optimized crystal structure of TaMn2CdPd from the Alexandria database. Energies are from PBEsol.

Cell lengths 4.421, 4.421, 5.219 Å; angles 90.00, 90.00, 90.00 degrees
Positions (direct):
Ta (0.000, 0.000, 0.000)
Mn (0.000, 0.500, 0.000)
Mn (0.500, 0.000, 0.000)
Cd (0.000, 0.000, 0.500)
Pd (0.500, 0.500, 0.500)

Values from the calculation:
DOS(E_F): 3.31 states/eV/cell
Total energy: -6.35 eV per atom

***

# 9
Here is an optimized crystal structure of Mn2CdPt2 from the Alexandria database. Energies are from PBEsol.

Cell lengths 3.289, 3.289, 13.579 Å; angles 90.00, 90.00, 90.00 degrees
Positions (direct):
Mn (0.000, 0.500, 0.250)
Mn (0.000, 0.500, 0.750)
Mn (0.500, 0.000, 0.250)
Mn (0.500, 0.000, 0.750)
Cd (0.000, 0.000, 0.000)
Cd (0.500, 0.500, 0.500)
Pt (0.000, 0.000, 0.391)
Pt (0.000, 0.000, 0.609)
Pt (0.500, 0.500, 0.109)
Pt (0.500, 0.500, 0.891)

Values from the calculation:
DOS(E_F): 9.95 states/eV/cell
Total energy: -6.74 eV per atom

***

# 10
Here is an optimized crystal structure of MnCdRe from the Alexandria database. Energies are from PBEsol.

Cell lengths 5.843, 5.843, 5.843 Å; angles 90.00, 90.00, 90.00 degrees
Positions (direct):
Mn (0.000, 0.000, 0.000)
Mn (0.000, 0.500, 0.500)
Mn (0.500, 0.000, 0.500)
Mn (0.500, 0.500, 0.000)
Cd (0.250, 0.250, 0.250)
Cd (0.250, 0.750, 0.750)
Cd (0.750, 0.250, 0.750)
Cd (0.750, 0.750, 0.250)
Re (0.250, 0.250, 0.750)
Re (0.250, 0.750, 0.250)
Re (0.750, 0.250, 0.250)
Re (0.750, 0.750, 0.750)

Values from the calculation:
DOS(E_F): 3.72 states/eV/cell
Total energy: -7.25 eV per atom

***

# 11
Here is an optimized crystal structure of Mn2CdRe from the Alexandria database. Energies are from PBEsol.

Cell lengths 2.838, 2.838, 7.057 Å; angles 90.00, 90.00, 90.00 degrees
Positions (direct):
Mn (0.000, 0.000, 0.221)
Mn (0.000, 0.000, 0.779)
Cd (0.500, 0.500, 0.500)
Re (0.500, 0.500, 0.000)

Values from the calculation:
DOS(E_F): 3.65 states/eV/cell
Total energy: -8.23 eV per atom

***

# 12
Here is an optimized crystal structure of Mn2CdRe from the Alexandria database. Energies are from PBEsol.

Cell lengths 2.719, 2.719, 26.192 Å; angles 90.00, 90.00, 120.00 degrees
Positions (direct):
Mn (0.000, 0.000, 0.244)
Mn (0.000, 0.000, 0.756)
Mn (0.333, 0.667, 0.423)
Mn (0.333, 0.667, 0.910)
Mn (0.667, 0.333, 0.090)
Mn (0.667, 0.333, 0.577)
Cd (0.000, 0.000, 0.000)
Cd (0.333, 0.667, 0.667)
Cd (0.667, 0.333, 0.333)
Re (0.000, 0.000, 0.500)
Re (0.333, 0.667, 0.167)
Re (0.667, 0.333, 0.833)

Values from the calculation:
DOS(E_F): 13.51 states/eV/cell
Total energy: -8.11 eV per atom

***

# 13
Here is an optimized crystal structure of MnCdRe2 from the Alexandria database. Energies are from PBEsol.

Cell lengths 6.223, 6.223, 6.223 Å; angles 90.00, 90.00, 90.00 degrees
Positions (direct):
Mn (0.000, 0.000, 0.000)
Mn (0.000, 0.500, 0.500)
Mn (0.500, 0.000, 0.500)
Mn (0.500, 0.500, 0.000)
Cd (0.250, 0.250, 0.750)
Cd (0.250, 0.750, 0.250)
Cd (0.750, 0.250, 0.250)
Cd (0.750, 0.750, 0.750)
Re (0.000, 0.000, 0.500)
Re (0.000, 0.500, 0.000)
Re (0.250, 0.250, 0.250)
Re (0.250, 0.750, 0.750)
Re (0.500, 0.000, 0.000)
Re (0.500, 0.500, 0.500)
Re (0.750, 0.250, 0.750)
Re (0.750, 0.750, 0.250)

Values from the calculation:
DOS(E_F): 20.11 states/eV/cell
Total energy: -8.83 eV per atom

***

# 14
Here is an optimized crystal structure of Mn2CdRe from the Alexandria database. Energies are from PBEsol.

Cell lengths 4.777, 2.649, 4.990 Å; angles 90.00, 114.42, 90.00 degrees
Positions (direct):
Mn (0.000, 0.000, 0.000)
Mn (0.000, 0.500, 0.500)
Cd (0.500, 0.000, 0.500)
Re (0.500, 0.500, 0.000)

Values from the calculation:
DOS(E_F): 4.94 states/eV/cell
Total energy: -7.90 eV per atom

***

# 15
Here is an optimized crystal structure of Mn2CdRe from the Alexandria database. Energies are from PBEsol.

Cell lengths 2.897, 2.897, 6.551 Å; angles 90.00, 90.00, 90.00 degrees
Positions (direct):
Mn (0.000, 0.000, 0.000)
Mn (0.500, 0.500, 0.147)
Cd (0.500, 0.500, 0.700)
Re (0.000, 0.000, 0.378)

Values from the calculation:
DOS(E_F): 3.16 states/eV/cell
Total energy: -8.13 eV per atom

***

# 16
Here is an optimized crystal structure of MnCdRe2 from the Alexandria database. Energies are from PBEsol.

Cell lengths 3.773, 3.773, 4.177 Å; angles 90.00, 90.00, 90.00 degrees
Positions (direct):
Mn (0.000, 0.000, 0.000)
Cd (0.500, 0.500, 0.000)
Re (0.000, 0.500, 0.500)
Re (0.500, 0.000, 0.500)

Values from the calculation:
DOS(E_F): 2.53 states/eV/cell
Total energy: -8.83 eV per atom

***

# 17
Here is an optimized crystal structure of MnCd3Rh from the Alexandria database. Energies are from PBEsol.

Cell lengths 4.828, 4.828, 4.828 Å; angles 90.00, 90.00, 90.00 degrees
Positions (direct):
Mn (0.000, 0.000, 0.000)
Cd (0.000, 0.000, 0.500)
Cd (0.000, 0.500, 0.000)
Cd (0.500, 0.000, 0.000)
Rh (0.500, 0.500, 0.500)

Values from the calculation:
DOS(E_F): 6.86 states/eV/cell
Total energy: -3.07 eV per atom

***

# 18
Here is an optimized crystal structure of MnCdRh2 from the Alexandria database. Energies are from PBEsol.

Cell lengths 2.723, 2.723, 26.566 Å; angles 90.00, 90.00, 120.00 degrees
Positions (direct):
Mn (0.000, 0.000, 0.000)
Mn (0.333, 0.667, 0.667)
Mn (0.667, 0.333, 0.333)
Cd (0.000, 0.000, 0.755)
Cd (0.333, 0.667, 0.422)
Cd (0.667, 0.333, 0.088)
Rh (0.000, 0.000, 0.259)
Rh (0.000, 0.000, 0.510)
Rh (0.333, 0.667, 0.177)
Rh (0.333, 0.667, 0.926)
Rh (0.667, 0.333, 0.593)
Rh (0.667, 0.333, 0.843)

Values from the calculation:
DOS(E_F): 14.10 states/eV/cell
Total energy: -6.62 eV per atom

***

# 19
Here is an optimized crystal structure of MnCdRh2 from the Alexandria database. Energies are from PBEsol.

Cell lengths 2.949, 2.949, 6.658 Å; angles 90.00, 90.00, 90.00 degrees
Positions (direct):
Mn (0.000, 0.000, 0.000)
Cd (0.000, 0.000, 0.500)
Rh (0.500, 0.500, 0.215)
Rh (0.500, 0.500, 0.785)

Values from the calculation:
DOS(E_F): 3.48 states/eV/cell
Total energy: -6.88 eV per atom

***

# 20
Here is an optimized crystal structure of Mn2CdRh from the Alexandria database. Energies are from PBEsol.

Cell lengths 3.916, 3.916, 7.757 Å; angles 90.00, 90.00, 90.00 degrees
Positions (direct):
Mn (0.000, 0.000, 0.000)
Mn (0.000, 0.500, 0.250)
Mn (0.500, 0.000, 0.750)
Mn (0.500, 0.500, 0.500)
Cd (0.000, 0.500, 0.750)
Cd (0.500, 0.000, 0.250)
Rh (0.000, 0.000, 0.500)
Rh (0.500, 0.500, 0.000)

Values from the calculation:
DOS(E_F): 5.78 states/eV/cell
Total energy: -6.96 eV per atom

***

# 21
Here is an optimized crystal structure of MnCdRh2 from the Alexandria database. Energies are from PBEsol.

Cell lengths 3.817, 3.817, 7.956 Å; angles 90.00, 90.00, 90.00 degrees
Positions (direct):
Mn (0.000, 0.000, 0.000)
Mn (0.500, 0.500, 0.500)
Cd (0.000, 0.500, 0.750)
Cd (0.500, 0.000, 0.250)
Rh (0.000, 0.000, 0.500)
Rh (0.000, 0.500, 0.250)
Rh (0.500, 0.000, 0.750)
Rh (0.500, 0.500, 0.000)

Values from the calculation:
DOS(E_F): 5.20 states/eV/cell
Total energy: -6.74 eV per atom

***

# 22
Here is an optimized crystal structure of Mn2CdRu from the Alexandria database. Energies are from PBEsol.

Cell lengths 2.849, 4.402, 8.777 Å; angles 90.00, 90.00, 90.00 degrees
Positions (direct):
Mn (0.000, 0.000, 0.000)
Mn (0.000, 0.500, 0.271)
Mn (0.500, 0.000, 0.771)
Mn (0.500, 0.500, 0.500)
Cd (0.000, 0.000, 0.504)
Cd (0.500, 0.500, 0.004)
Ru (0.000, 0.500, 0.729)
Ru (0.500, 0.000, 0.229)

Values from the calculation:
DOS(E_F): 9.31 states/eV/cell
Total energy: -7.29 eV per atom

***

# 23
Here is an optimized crystal structure of Mn2CdRu from the Alexandria database. Energies are from PBEsol.

Cell lengths 2.683, 2.683, 26.057 Å; angles 90.00, 90.00, 120.00 degrees
Positions (direct):
Mn (0.000, 0.000, 0.000)
Mn (0.000, 0.000, 0.262)
Mn (0.333, 0.667, 0.667)
Mn (0.333, 0.667, 0.929)
Mn (0.667, 0.333, 0.333)
Mn (0.667, 0.333, 0.595)
Cd (0.000, 0.000, 0.758)
Cd (0.333, 0.667, 0.425)
Cd (0.667, 0.333, 0.092)
Ru (0.000, 0.000, 0.520)
Ru (0.333, 0.667, 0.186)
Ru (0.667, 0.333, 0.853)

Values from the calculation:
DOS(E_F): 11.93 states/eV/cell
Total energy: -7.37 eV per atom

***

# 24
Here is an optimized crystal structure of MnCdRu3 from the Alexandria database. Energies are from PBEsol.

Cell lengths 4.769, 4.769, 4.769 Å; angles 90.00, 90.00, 90.00 degrees
Positions (direct):
Mn (0.000, 0.000, 0.000)
Cd (0.500, 0.500, 0.500)
Ru (0.000, 0.500, 0.500)
Ru (0.500, 0.000, 0.500)
Ru (0.500, 0.500, 0.000)

Values from the calculation:
DOS(E_F): 7.65 states/eV/cell
Total energy: -5.64 eV per atom

***

# 25
Here is an optimized crystal structure of MnCdS2 from the Alexandria database. Energies are from PBEsol.

Cell lengths 4.027, 4.027, 6.514 Å; angles 90.00, 90.00, 120.00 degrees
Positions (direct):
Mn (0.000, 0.000, 0.000)
Cd (0.333, 0.667, 0.508)
S (0.000, 0.000, 0.363)
S (0.333, 0.667, 0.895)

Values from the calculation:
Raw formation energy: -477 meV/atom
Total energy: -5.41 eV per atom

***

# 26
Here is an optimized crystal structure of Mn4CdS5 from the Alexandria database. Energies are from PBEsol.

Cell lengths 14.867, 14.867, 14.867 Å; angles 13.69, 13.69, 13.69 degrees
Positions (direct):
Mn (0.095, 0.095, 0.095)
Mn (0.301, 0.301, 0.301)
Mn (0.699, 0.699, 0.699)
Mn (0.905, 0.905, 0.905)
Cd (0.500, 0.500, 0.500)
S (0.000, 0.000, 0.000)
S (0.206, 0.206, 0.206)
S (0.396, 0.396, 0.396)
S (0.604, 0.604, 0.604)
S (0.794, 0.794, 0.794)

Values from the calculation:
Raw formation energy: -421 meV/atom
DOS(E_F): 5.19 states/eV/cell
Total energy: -6.64 eV per atom

***

# 27
Here is an optimized crystal structure of MnCdS2 from the Alexandria database. Energies are from PBEsol.

Cell lengths 4.025, 4.025, 19.530 Å; angles 90.00, 90.00, 120.00 degrees
Positions (direct):
Mn (0.000, 0.000, 0.000)
Mn (0.333, 0.667, 0.667)
Mn (0.667, 0.333, 0.333)
Cd (0.000, 0.000, 0.503)
Cd (0.333, 0.667, 0.169)
Cd (0.667, 0.333, 0.836)
S (0.000, 0.000, 0.121)
S (0.000, 0.000, 0.632)
S (0.333, 0.667, 0.298)
S (0.333, 0.667, 0.788)
S (0.667, 0.333, 0.454)
S (0.667, 0.333, 0.965)

Values from the calculation:
Raw formation energy: -477 meV/atom
Total energy: -5.41 eV per atom

***

# 28
Here is an optimized crystal structure of MnCd4S5 from the Alexandria database. Energies are from PBEsol.

Cell lengths 16.759, 16.759, 16.759 Å; angles 13.99, 13.99, 13.99 degrees
Positions (direct):
Mn (0.000, 0.000, 0.000)
Cd (0.202, 0.202, 0.202)
Cd (0.399, 0.399, 0.399)
Cd (0.603, 0.603, 0.603)
Cd (0.800, 0.800, 0.800)
S (0.048, 0.048, 0.048)
S (0.252, 0.252, 0.252)
S (0.449, 0.449, 0.449)
S (0.654, 0.654, 0.654)
S (0.851, 0.851, 0.851)

Values from the calculation:
Raw formation energy: -559 meV/atom
DOS(E_F): 0.15 states/eV/cell
Total energy: -4.21 eV per atom

***

# 29
Here is an optimized crystal structure of MnCd2Sb from the Alexandria database. Energies are from PBEsol.

Cell lengths 5.542, 10.980, 3.151 Å; angles 90.00, 120.98, 90.00 degrees
Positions (direct):
Mn (0.000, 0.000, 0.000)
Mn (0.500, 0.500, 0.000)
Cd (0.250, 0.250, 0.000)
Cd (0.250, 0.750, 0.000)
Cd (0.750, 0.250, 0.000)
Cd (0.750, 0.750, 0.000)
Sb (0.000, 0.500, 0.000)
Sb (0.500, 0.000, 0.000)

Values from the calculation:
Raw formation energy: 262 meV/atom
DOS(E_F): 3.38 states/eV/cell
Total energy: -3.92 eV per atom

***

# 30
Here is an optimized crystal structure of MnCd2Sb from the Alexandria database. Energies are from PBEsol.

Cell lengths 4.037, 4.037, 9.793 Å; angles 90.00, 90.00, 90.00 degrees
Positions (direct):
Mn (0.000, 0.000, 0.000)
Mn (0.500, 0.500, 0.500)
Cd (0.000, 0.500, 0.250)
Cd (0.000, 0.500, 0.750)
Cd (0.500, 0.000, 0.250)
Cd (0.500, 0.000, 0.750)
Sb (0.000, 0.000, 0.500)
Sb (0.500, 0.500, 0.000)

Values from the calculation:
Raw formation energy: 252 meV/atom
DOS(E_F): 4.60 states/eV/cell
Total energy: -3.93 eV per atom